## LaSm2Dy2Y (PBE)

Data for an optimized crystal structure of LaSm2Dy2Y.

```
12
Lattice="-0.9668 0.5215 -3.3633 -15.6578 1.4896 4.7317 0.8988 6.8797 0.8085" Properties=species:S:1:pos:R:3 pbc="T T T"
La 0.0000 0.0000 0.0000
La -7.8629 4.4455 1.0884
Sm -13.4135 3.2510 2.4987
Sm -2.3122 5.6399 -0.3218
Sm -9.6529 6.1611 3.7301
Sm -5.1061 2.2083 1.8101
Dy -2.6986 2.2067 -0.7432
Dy -10.0425 2.7028 3.3058
Dy -13.0272 6.6842 2.9200
Dy -4.7164 5.6666 2.2344
Y -8.3123 1.0056 0.6842
Y 0.4494 3.4399 0.4042
```

Computed properties:
- Formation energy from the elements: 155 meV per atom


## Li2UBr6 (PBE)

Data for an optimized crystal structure of Li2UBr6.

```
27
Lattice="11.6904 -0.0698 -0.2068 -8.5792 20.0481 0.1990 -5.7195 1.4056 4.1670" Properties=species:S:1:pos:R:3 pbc="T T T"
Li -1.1362 13.8608 2.0841
Li 1.7849 7.3357 2.1302
Li 4.5541 0.9368 2.5316
Li 1.4168 0.5478 1.3783
Li -4.3318 13.9134 2.2401
Li -1.5334 7.2880 1.9888
U -8.5792 11.9335 2.9362
U -5.7195 5.4490 2.8030
U -2.7340 18.0349 0.7629
Br -6.3627 21.1698 3.9396
Br 3.0948 12.9757 0.0702
Br -8.9576 18.8859 2.2998
Br 0.0953 7.8511 4.0611
Br -5.8194 11.9894 2.9121
Br -4.7638 16.3094 1.5837
Br -2.2299 19.1867 3.1916
Br -2.9632 5.3483 2.6856
Br -2.8645 9.3232 1.2649
Br 0.3515 11.9228 2.7148
Br -0.7042 16.1648 1.1550
Br 0.0741 2.7529 1.0616
Br 3.2147 5.3703 2.7507
Br 3.1160 9.3935 1.4734
Br -2.8433 13.0234 0.2116
Br 5.8969 2.8832 1.4480
Br 0.1562 6.5285 0.1402
Br -4.8247 20.0107 0.5034
```

Computed properties:
- Formation energy from raw total energies: -1364 meV/atom
- E above lowest polymorph: 47.1 meV per atom


## CoRh4 (PBE)

Data for an optimized crystal structure of CoRh4.

```
5
Lattice="2.1866 6.4701 0.8851 -2.1866 6.4701 0.8851 0.0000 0.7575 2.5730" Properties=species:S:1:pos:R:3 pbc="T T T"
Co 0.0000 0.0000 0.0000
Rh 0.0000 5.2088 1.2605
Rh 0.0000 11.2126 3.6806
Rh 0.0000 2.4852 0.6625
Rh 0.0000 8.4890 3.0826
```

Computed properties:
- Formation energy from the elements: 154 meV per atom
- E above lowest polymorph: 125.1 meV per atom


## PmPr2VN4 (PBE)

Data for an optimized crystal structure of PmPr2VN4.

```
16
Lattice="-2.8929 -1.9197 -0.0197 3.8714 -2.7357 4.0268 -4.6580 6.9252 9.1830" Properties=species:S:1:pos:R:3 pbc="T T T"
Pm -3.0737 4.5541 7.5827
Pm -0.6058 -2.2843 5.6074
Pr -0.7444 1.0403 7.9383
Pr -1.0041 -1.6414 1.4449
Pr -2.9351 1.2295 5.2518
Pr -2.6754 3.9113 11.7452
V -3.3733 1.8465 9.4726
V -0.3062 0.4233 3.7175
N 0.6744 -1.0516 3.4403
N -3.3056 1.7628 7.6832
N -4.3539 3.3214 9.7498
N -0.3739 0.5070 5.5069
N -2.3290 3.4626 4.5915
N 0.0000 0.0000 0.0000
N -1.4543 2.0863 10.2652
N -2.2252 0.1836 2.9249
```

Computed properties:
- Formation energy from raw total energies: -1110 meV/atom


## Hg2PtSe (PBE)

Data for an optimized crystal structure of Hg2PtSe.

```
4
Lattice="0.0000 3.4402 3.4402 3.4402 0.0000 3.4402 3.4402 3.4402 0.0000" Properties=species:S:1:pos:R:3 pbc="T T T"
Se 0.0000 0.0000 0.0000
Hg 1.7201 1.7201 1.7201
Hg 5.1603 5.1603 5.1603
Pt 3.4402 3.4402 3.4402
```

Computed properties:
- Formation energy from raw total energies: 327 meV/atom
- E above lowest polymorph: 376.3 meV per atom


## TaGaRh2 (PBE)

Data for an optimized crystal structure of TaGaRh2.

```
4
Lattice="4.7450 -1.5567 -2.9145 -1.2654 4.8308 2.9145 -3.3266 0.0493 4.7291" Properties=species:S:1:pos:R:3 pbc="T T T"
Ta -2.2960 2.4401 3.8218
Ga 0.0000 0.0000 0.0000
Rh -1.1959 1.2709 1.9906
Rh -3.3961 3.6092 5.6530
```

Computed properties:
- Formation energy from the elements: 94 meV per atom


## YCdRu2 (PBE)

Data for an optimized crystal structure of YCdRu2.

```
4
Lattice="-1.4416 5.3145 -0.7131 -4.1006 3.7419 -0.1142 -0.3946 2.2662 4.1984" Properties=species:S:1:pos:R:3 pbc="T T T"
Cd -1.5681 2.8836 0.6093
Ru -0.1176 0.2384 0.1040
Ru -4.3047 8.2201 2.4710
Y -2.9148 5.6418 1.8723
```

Computed properties:
- Formation energy from the elements: 46 meV per atom


## CeNd2Sc3Se6 (PBE)

Data for an optimized crystal structure of CeNd2Sc3Se6.

```
12
Lattice="-1.5595 2.0950 -3.0258 -3.6060 -6.8038 -2.8523 -5.1489 2.5592 7.0658" Properties=species:S:1:pos:R:3 pbc="T T T"
Ce -0.7798 1.0475 -1.5129
Nd -7.1343 -1.0804 0.2889
Nd -3.1801 -1.0691 0.8988
Sc -2.5828 -2.3544 -2.9390
Sc -5.3037 2.3331 1.7089
Sc -5.0107 -4.4827 -0.5212
Se -7.2437 -3.9755 0.9809
Se -4.8476 -1.8860 -1.4475
Se -3.0707 1.8259 0.2068
Se -7.5842 2.8044 3.2106
Se -2.7302 -4.9539 -2.0228
Se -5.4668 -0.2635 2.6352
```

Computed properties:
- Formation energy from raw total energies: -1703 meV/atom


## CrInReP (PBE)

Data for an optimized crystal structure of CrInReP.

```
8
Lattice="-0.2509 1.8881 2.2011 -2.9785 -1.1771 0.6702 5.5057 -9.1199 8.4505" Properties=species:S:1:pos:R:3 pbc="T T T"
Cr 1.9471 -6.2806 5.6094
Cr 0.5580 -0.1880 2.1496
In 5.2027 -8.6179 7.9854
In 0.8351 -3.7025 5.1958
Re 1.6505 -2.7339 2.5332
Re 2.7886 -6.9383 8.1942
P -0.5124 -2.2066 1.8344
P 3.6043 -5.2339 6.8252
```

Computed properties:
- Formation energy from the elements: 96 meV per atom
- E above lowest polymorph: 75.5 meV per atom


## Nd3HoTl3 (PBE)

Data for an optimized crystal structure of Nd3HoTl3.

```
28
Lattice="-0.5485 -0.5979 -9.5142 7.1037 -6.3808 -0.0086 -6.3572 -7.0785 0.8113" Properties=species:S:1:pos:R:3 pbc="T T T"
Nd 0.7681 -3.8056 -7.7295
Nd 0.1843 -13.0847 -8.1088
Nd 2.2951 -7.0991 -7.5797
Nd 3.7010 -7.6936 -1.3889
Nd 0.0349 -2.4788 -1.5361
Nd 1.3740 -10.2366 -2.5377
Nd -0.5959 -6.8193 -0.2001
Nd -4.2062 -7.1532 -2.4407
Nd -3.3079 -8.2999 -5.7693
Nd 0.1333 -9.4621 -5.8638
Nd -2.5596 -3.8313 -5.0663
Nd 3.3672 -4.3791 -4.0477
Ho -1.8454 -10.2615 0.0388
Ho -3.6308 -5.0933 -8.3415
Ho 0.0843 -5.9836 -3.7081
Ho 5.7880 -6.7760 -5.4120
Tl -2.2691 -11.5487 -6.3819
Tl -2.0850 -2.3390 -8.0511
Tl 0.8004 -9.8899 -8.9889
Tl 1.9382 -5.0141 -1.0617
Tl -2.3878 -4.5420 -1.9218
Tl 6.0132 -5.7053 -2.4349
Tl -3.7054 -7.7744 0.6830
Tl -1.3983 -8.6689 -2.9012
Tl 0.6236 -2.7958 -4.6711
Tl 1.9412 -12.0924 -5.4088
Tl -0.9602 -6.3184 -6.6842
Tl 2.6775 -7.6542 -4.4459
```

Computed properties:
- Formation energy from the elements: -272 meV per atom
- E above lowest polymorph: 0.0 meV per atom


## PrEr7Tm3 (PBE)

Data for an optimized crystal structure of PrEr7Tm3.

```
11
Lattice="-3.4763 0.1133 4.2412 5.5315 -6.5701 4.7089 5.6481 6.2058 -2.6287" Properties=species:S:1:pos:R:3 pbc="T T T"
Pr 3.8517 -0.1255 3.1607
Er 6.6288 0.4144 5.4241
Er 2.9510 -2.4030 6.0280
Er 0.6143 -1.1853 4.0808
Er 7.0891 0.9342 2.2406
Er 1.0859 3.1595 0.8062
Er 4.7524 2.1519 0.2934
Er 1.0745 -0.6655 0.8973
Tm 8.9161 -1.6884 3.8060
Tm 2.7658 -3.2851 2.3545
Tm -1.2128 1.4373 2.5153
```

Computed properties:
- Formation energy from the elements: 153 meV per atom
- E above lowest polymorph: 0.0 meV per atom


## CsSb2Pb2 (PBE)

Data for an optimized crystal structure of CsSb2Pb2.

```
10
Lattice="-5.8339 4.2664 -6.6158 -2.1204 -8.7818 -3.7934 -2.9184 -0.3183 2.3682" Properties=species:S:1:pos:R:3 pbc="T T T"
Pb -4.0747 -6.1021 -5.8415
Pb -6.4447 -1.7036 -8.1709
Pb -3.8796 1.5867 -4.5677
Pb -1.5096 -2.8117 -2.2383
Cs 0.0000 0.0000 0.0000
Cs -3.9771 -2.2577 -5.2046
Sb -3.7433 -5.2448 -2.3143
Sb -7.0679 -4.8000 -6.3515
Sb -7.1294 0.4111 -5.7268
Sb -3.8048 -0.0336 -1.6895
```

Computed properties:
- Formation energy from raw total energies: -109 meV/atom
- E above lowest polymorph: 91.3 meV per atom


Number 1: magnetic moment 0.00 μB/f.u., D(E_F) 18.2 states/eV/cell. Number 2: magnetic moment 2.00 μB/f.u., D(E_F) 20.3 states/eV/cell. Number 3: magnetic moment 2.72 μB/f.u., D(E_F) 9.5 states/eV/cell. Number 4: magnetic moment 0.00 μB/f.u., D(E_F) 7.1 states/eV/cell. Number 5: magnetic moment 0.00 μB/f.u., D(E_F) 1.0 states/eV/cell. Number 6: magnetic moment 0.00 μB/f.u., D(E_F) 2.7 states/eV/cell. Number 7: magnetic moment 0.56 μB/f.u., D(E_F) 4.0 states/eV/cell. Number 8: magnetic moment 1.19 μB/f.u., D(E_F) 11.2 states/eV/cell. Number 9: magnetic moment 1.00 μB/f.u., D(E_F) 5.4 states/eV/cell. Number 10: magnetic moment 0.00 μB/f.u., D(E_F) 32.3 states/eV/cell. Number 11: magnetic moment 0.00 μB/f.u., D(E_F) 17.6 states/eV/cell. Number 12: magnetic moment 0.00 μB/f.u., D(E_F) 3.1 states/eV/cell.